A plane-wave DFT calculation with PBE was carried out for Y3Te2As after structural relaxation.

Cell and atoms, written as extended XYZ:
```
12
Lattice="6.560 -0.334 3.401 2.469 6.974 1.280 0.337 -0.167 7.376" Properties=species:S:1:pos:R:3 pbc="T T T"
Y 6.639 5.203 3.442
Y 4.951 5.154 7.223
As 4.608 -0.334 7.167
Te 0.000 0.000 0.000
Te 2.511 3.320 6.204
Te 4.514 3.320 2.340
Y 2.534 5.321 3.859
As 2.290 -0.167 3.611
Y 2.389 1.437 1.239
Y 4.415 1.319 4.834
Te 6.855 3.153 5.854
Y 6.832 1.152 8.199
```

Properties
The total energy is -6.5104 eV/atom. Its spin magnetization is 0.000 μB/cell. The crystal system is monoclinic. Its space group is C2/m (12).